Record 1
Below is a geometry-optimized Ca2CuSbO6 structure, with properties calculated at the PBE-GGA level.

Cell and atoms, written as extended XYZ:
```
20
Lattice="5.807 0.000 0.000 0.000 7.493 0.000 -1.644 0.000 5.829" Properties=species:S:1:pos:R:3 pbc="T T T"
Ca 0.074 1.873 0.484
Ca 1.760 5.620 2.655
Ca 2.403 1.873 3.174
Ca 4.089 5.620 5.345
Cu -0.822 0.000 2.914
Cu -0.822 3.746 2.914
Sb 2.903 0.000 0.000
Sb 2.903 3.746 0.000
O -0.519 5.620 3.269
O -0.468 0.279 4.744
O -0.468 3.467 4.744
O 1.756 0.411 1.541
O 1.756 3.335 1.541
O 2.257 5.620 0.352
O 1.906 1.873 5.477
O 2.407 4.158 4.288
O 2.407 7.082 4.288
O 4.632 4.025 1.085
O 4.632 7.214 1.085
O 4.682 1.873 2.560
```

Formation energy without anion corrections in eV/f.u.: -18.65
Relative energy among the computed polymorphs in meV/atom: 15

Record 2
Below is a geometry-optimized Ca2ScCuO structure, with properties calculated at the PBE-GGA level.

Cell and atoms, written as extended XYZ:
```
5
Lattice="6.086 0.000 0.000 0.000 6.086 0.000 0.000 0.000 3.571" Properties=species:S:1:pos:R:3 pbc="T T T"
Ca 0.000 3.043 0.000
Ca 3.043 0.000 0.000
Sc 0.000 0.000 1.786
Cu 3.043 3.043 0.000
O 3.043 3.043 1.786
```

Formation energy without anion corrections in eV/f.u.: -0.28
Relative energy among the computed polymorphs in meV/atom: 1039

Record 3
Below is a geometry-optimized Ca2ScCuO structure, with properties calculated at the PBE-GGA level.

Cell and atoms, written as extended XYZ:
```
5
Lattice="4.913 0.000 0.000 0.000 4.913 0.000 0.000 0.000 4.201" Properties=species:S:1:pos:R:3 pbc="T T T"
Ca 0.000 2.457 0.000
Ca 2.457 0.000 0.000
Sc 0.000 0.000 2.101
Cu 2.457 2.457 2.101
O 0.000 0.000 0.000
```

Formation energy without anion corrections in eV/f.u.: -5.47
Relative energy among the computed polymorphs in meV/atom: 0

Record 4
Below is a geometry-optimized CaCuSeO structure, with properties calculated at the PBE-GGA level.

Cell and atoms, written as extended XYZ:
```
4
Lattice="3.742 0.000 0.000 -1.871 3.240 0.000 0.000 0.000 6.080" Properties=species:S:1:pos:R:3 pbc="T T T"
Ca 0.000 0.000 0.000
Cu 1.871 1.080 2.588
Se 0.000 2.160 3.648
O 1.871 1.080 0.642
```

Formation energy without anion corrections in eV/f.u.: -5.71

no.,theoretical density (g/cm3)
1,4.7
2,2.6
3,3.4
4,4.5